Entry 1:
Below is LaBi2F8 after structural relaxation, with properties calculated at the PBE-GGA level.

CIF file:
```
data_LaBi2F8
_space_group_name_H-M_alt 'C 1 2/m 1'
_space_group_IT_number 12
_cell_length_a 15.888
_cell_length_b 3.974
_cell_length_c 5.537
_cell_angle_alpha 90.00
_cell_angle_beta 105.69
_cell_angle_gamma 90.00
loop_
_space_group_symop_operation_xyz
'x,y,z'
'-x,-y,-z'
'-x,y,-z'
'x,-y,z'
'x+1/2,y+1/2,z'
'-x+1/2,-y+1/2,-z'
'-x+1/2,y+1/2,-z'
'x+1/2,-y+1/2,z'
loop_
_atom_site_label
_atom_site_type_symbol
_atom_site_fract_x
_atom_site_fract_y
_atom_site_fract_z
_atom_site_occupancy
La1 La 0.000 0.000 0.000 1
Bi1 Bi 0.171 0.500 0.670 1
F1 F 0.030 0.500 0.792 1
F2 F 0.100 0.000 0.422 1
F3 F 0.145 0.000 0.924 1
F4 F 0.229 0.500 0.325 1
```

---

Entry 2:
# LaBiF3, relaxed, DFT PBE-GGA
data_LaBiF3
_space_group_name_H-M_alt 'P m -3 m'
_space_group_IT_number 221
_space_group_name_Hall '-P 4 2 3'
_cell_length_a 4.814
_cell_length_b 4.814
_cell_length_c 4.814
_cell_angle_alpha 90.00
_cell_angle_beta 90.00
_cell_angle_gamma 90.00
loop_
_atom_site_label
_atom_site_type_symbol
_atom_site_fract_x
_atom_site_fract_y
_atom_site_fract_z
_atom_site_occupancy
La1 La 0.000 0.000 0.000 1
Bi1 Bi 0.500 0.500 0.500 1
F1 F 0.000 0.000 0.500 1
# relative energy among the computed polymorphs: 0 meV/atom

---

Entry 3:
Below is La4Bi2F after structural relaxation, with properties calculated at the PBE-GGA level.

CIF file:
```
data_La4Bi2F
_space_group_name_H-M_alt 'I 4/m m m'
_space_group_IT_number 139
_space_group_name_Hall '-I 4 2'
_cell_length_a 4.890
_cell_length_b 4.890
_cell_length_c 18.041
_cell_angle_alpha 90.00
_cell_angle_beta 90.00
_cell_angle_gamma 90.00
loop_
_atom_site_label
_atom_site_type_symbol
_atom_site_fract_x
_atom_site_fract_y
_atom_site_fract_z
_atom_site_occupancy
La1 La 0.000 0.000 0.178 1
La2 La 0.000 0.500 0.000 1
Bi1 Bi 0.000 0.000 0.363 1
F1 F 0.000 0.000 0.000 1
```

---

Entry 4:
Below is LiLa2BiF after structural relaxation, with properties calculated at the PBE-GGA level.

CIF file:
```
data_LiLa2BiF
_space_group_name_H-M_alt 'P 4/m m m'
_space_group_IT_number 123
_space_group_name_Hall '-P 4 2'
_cell_length_a 5.296
_cell_length_b 5.296
_cell_length_c 4.314
_cell_angle_alpha 90.00
_cell_angle_beta 90.00
_cell_angle_gamma 90.00
loop_
_atom_site_label
_atom_site_type_symbol
_atom_site_fract_x
_atom_site_fract_y
_atom_site_fract_z
_atom_site_occupancy
Li1 Li 0.000 0.000 0.000 1
La1 La 0.000 0.500 0.500 1
Bi1 Bi 0.500 0.500 0.000 1
F1 F 0.000 0.000 0.500 1
```

---

Entry 5:
Below is La2MgBiF after structural relaxation, with properties calculated at the PBE-GGA level.

CIF file:
```
data_La2MgBiF
_space_group_name_H-M_alt 'P 4/m m m'
_space_group_IT_number 123
_space_group_name_Hall '-P 4 2'
_cell_length_a 4.891
_cell_length_b 4.891
_cell_length_c 5.891
_cell_angle_alpha 90.00
_cell_angle_beta 90.00
_cell_angle_gamma 90.00
loop_
_atom_site_label
_atom_site_type_symbol
_atom_site_fract_x
_atom_site_fract_y
_atom_site_fract_z
_atom_site_occupancy
La1 La 0.000 0.500 0.000 1
Mg1 Mg 0.000 0.000 0.500 1
Bi1 Bi 0.500 0.500 0.500 1
F1 F 0.500 0.500 0.000 1
```

---

Entry 6:
Below is LaMgBiF2 after structural relaxation, with properties calculated at the PBE-GGA level.

CIF file:
```
data_LaMgBiF2
_space_group_name_H-M_alt 'P 4/m m m'
_space_group_IT_number 123
_space_group_name_Hall '-P 4 2'
_cell_length_a 4.401
_cell_length_b 4.401
_cell_length_c 5.925
_cell_angle_alpha 90.00
_cell_angle_beta 90.00
_cell_angle_gamma 90.00
loop_
_atom_site_label
_atom_site_type_symbol
_atom_site_fract_x
_atom_site_fract_y
_atom_site_fract_z
_atom_site_occupancy
La1 La 0.000 0.000 0.000 1
Mg1 Mg 0.500 0.500 0.500 1
Bi1 Bi 0.500 0.500 0.000 1
F1 F 0.000 0.500 0.500 1
```

---

Entry 7:
# LaBiN2F, relaxed, DFT PBE-GGA
data_LaBiN2F
_space_group_name_H-M_alt 'P 4/m m m'
_space_group_IT_number 123
_space_group_name_Hall '-P 4 2'
_cell_length_a 4.466
_cell_length_b 4.466
_cell_length_c 4.347
_cell_angle_alpha 90.00
_cell_angle_beta 90.00
_cell_angle_gamma 90.00
loop_
_atom_site_label
_atom_site_type_symbol
_atom_site_fract_x
_atom_site_fract_y
_atom_site_fract_z
_atom_site_occupancy
La1 La 0.000 0.000 0.000 1
Bi1 Bi 0.500 0.500 0.500 1
N1 N 0.000 0.500 0.500 1
F1 F 0.500 0.500 0.000 1
# relative energy among the computed polymorphs: 0 meV/atom

---

Entry 8:
# LaBiNF2, relaxed, DFT PBE-GGA
data_LaBiNF2
_space_group_name_H-M_alt 'P 4/m m m'
_space_group_IT_number 123
_space_group_name_Hall '-P 4 2'
_cell_length_a 4.600
_cell_length_b 4.600
_cell_length_c 4.626
_cell_angle_alpha 90.00
_cell_angle_beta 90.00
_cell_angle_gamma 90.00
loop_
_atom_site_label
_atom_site_type_symbol
_atom_site_fract_x
_atom_site_fract_y
_atom_site_fract_z
_atom_site_occupancy
La1 La 0.000 0.000 0.000 1
Bi1 Bi 0.500 0.500 0.500 1
N1 N 0.500 0.500 0.000 1
F1 F 0.000 0.500 0.500 1
# relative energy among the computed polymorphs: 437 meV/atom

---

Entry 9:
# LaBiNF2, relaxed, DFT PBE-GGA
data_LaBiNF2
_space_group_name_H-M_alt 'P 4/m m m'
_space_group_IT_number 123
_space_group_name_Hall '-P 4 2'
_cell_length_a 4.538
_cell_length_b 4.538
_cell_length_c 5.136
_cell_angle_alpha 90.00
_cell_angle_beta 90.00
_cell_angle_gamma 90.00
loop_
_atom_site_label
_atom_site_type_symbol
_atom_site_fract_x
_atom_site_fract_y
_atom_site_fract_z
_atom_site_occupancy
La1 La 0.000 0.000 0.000 1
Bi1 Bi 0.500 0.500 0.500 1
N1 N 0.000 0.000 0.500 1
F1 F 0.000 0.500 0.000 1
# relative energy among the computed polymorphs: 0 meV/atom

---

Entry 10:
# LaBiN2F, relaxed, DFT PBE-GGA
data_LaBiN2F
_space_group_name_H-M_alt 'P 4/m m m'
_space_group_IT_number 123
_space_group_name_Hall '-P 4 2'
_cell_length_a 4.671
_cell_length_b 4.671
_cell_length_c 4.457
_cell_angle_alpha 90.00
_cell_angle_beta 90.00
_cell_angle_gamma 90.00
loop_
_atom_site_label
_atom_site_type_symbol
_atom_site_fract_x
_atom_site_fract_y
_atom_site_fract_z
_atom_site_occupancy
La1 La 0.000 0.000 0.000 1
Bi1 Bi 0.500 0.500 0.500 1
N1 N 0.000 0.500 0.000 1
F1 F 0.000 0.000 0.500 1
# relative energy among the computed polymorphs: 235 meV/atom

---

Entry 11:
Below is Na2LaBiF after structural relaxation, with properties calculated at the PBE-GGA level.

CIF file:
```
data_Na2LaBiF
_space_group_name_H-M_alt 'P 4/m m m'
_space_group_IT_number 123
_space_group_name_Hall '-P 4 2'
_cell_length_a 4.780
_cell_length_b 4.780
_cell_length_c 5.401
_cell_angle_alpha 90.00
_cell_angle_beta 90.00
_cell_angle_gamma 90.00
loop_
_atom_site_label
_atom_site_type_symbol
_atom_site_fract_x
_atom_site_fract_y
_atom_site_fract_z
_atom_site_occupancy
Na1 Na 0.000 0.500 0.000 1
La1 La 0.000 0.000 0.500 1
Bi1 Bi 0.500 0.500 0.500 1
F1 F 0.000 0.000 0.000 1
```

---

Entry 12:
Below is LaBi2O4F after structural relaxation, with properties calculated at the PBE-GGA level.

CIF file:
```
data_LaBi2O4F
_space_group_name_H-M_alt 'P 4/m m m'
_space_group_IT_number 123
_space_group_name_Hall '-P 4 2'
_cell_length_a 3.935
_cell_length_b 3.935
_cell_length_c 8.820
_cell_angle_alpha 90.00
_cell_angle_beta 90.00
_cell_angle_gamma 90.00
loop_
_atom_site_label
_atom_site_type_symbol
_atom_site_fract_x
_atom_site_fract_y
_atom_site_fract_z
_atom_site_occupancy
La1 La 0.000 0.000 0.000 1
Bi1 Bi 0.500 0.500 0.298 1
O1 O 0.000 0.500 0.173 1
F1 F 0.000 0.000 0.500 1
```

---

no.,E_form (uncorrected) (meV/atom)
1,-2841
2,-2662
3,-1265
4,-1398
5,-1120
6,-2039
7,-461
8,-1103
9,-1539
10,-226
11,-1357
12,-2130